LaTmWO6: optimized geometry, PBE with a Hubbard U.

```
LaTmWO6
1.0
5.5336 0.0000 -0.0001
2.7668 4.7922 0.0000
0.0001 -0.0001 5.0760
La Tm W O
1 1 1 6
Direct
0.0000 0.0000 0.0000
0.6666 0.6667 0.5000
0.3333 0.3333 0.5000
0.0346 0.3434 0.2836
0.3434 0.0346 0.7164
0.6220 0.3434 0.7164
0.0346 0.6220 0.7164
0.3434 0.6220 0.2836
0.6220 0.0346 0.2836
```

## Properties
energy	-8.10	eV per atom
space-group type	P312